No. 1
! SiSbRu2 (PBE-GGA, relaxed); values from VASP
! volume	64.4	Å³/cell
! total magnetic moment	0.008	μB per formula unit
! E_form (uncorrected)	0.4212	eV/atom
! energy above the most stable polymorph in this dataset	616	meV/atom
! SG	F-43m, No. 216
&SYSTEM
  ibrav = 0, nat = 4, ntyp = 3
/
ATOMIC_SPECIES
Ru 101.07 Ru.upf
Si 28.09 Si.upf
Sb 121.76 Sb.upf
CELL_PARAMETERS angstrom
-1.0649 -0.0664 4.3706
1.0025 -3.6000 2.5051
3.2416 0.2552 3.1093
ATOMIC_POSITIONS angstrom
Ru 0.7948 -0.8528 2.4962
Ru 0.0000 0.0000 0.0000
Si 2.3844 -2.5584 7.4887
Sb 1.5896 -1.7056 4.9925


No. 2
! Y2Ru (PBE-GGA, relaxed); values from VASP
! volume	152.1	Å³/cell
! total magnetic moment	0.000	μB per formula unit
! formation energy from the elements	-279.0	meV/atom
! SG	C2/m, No. 12
&SYSTEM
  ibrav = 0, nat = 6, ntyp = 2
/
ATOMIC_SPECIES
Y 88.91 Y.upf
Ru 101.07 Ru.upf
CELL_PARAMETERS angstrom
6.0398 0.0469 0.0039
4.7514 3.7291 0.0039
4.1531 1.4532 6.8233
ATOMIC_POSITIONS angstrom
Y 9.8036 3.4304 4.9637
Y 12.8888 4.5099 3.7676
Y 2.4926 0.8722 0.1088
Ru 14.0357 4.9112 6.5002
Ru 8.6567 3.0291 2.2311
Y 5.2557 1.8390 1.7913


No. 3
! Mn2CrSiAg (PBE-GGA, relaxed); values from VASP
! volume	91.4	Å³/cell
! total magnetic moment	3.371	μB per formula unit
! E_form (uncorrected)	1.1708	eV/atom
! SG	P4/mmm, No. 123
&SYSTEM
  ibrav = 0, nat = 5, ntyp = 4
/
ATOMIC_SPECIES
Ag 107.87 Ag.upf
Mn 54.94 Mn.upf
Cr 52.00 Cr.upf
Si 28.09 Si.upf
CELL_PARAMETERS angstrom
4.2981 0.0000 0.0000
0.0000 4.9462 0.0000
0.0000 0.0000 4.2981
ATOMIC_POSITIONS angstrom
Ag 0.0000 2.4731 0.0000
Mn 0.0000 0.0000 2.1491
Cr 0.0000 0.0000 0.0000
Mn 2.1491 0.0000 0.0000
Si 2.1491 2.4731 2.1491


No. 4
! NiOs2Br (PBE-GGA, relaxed); values from VASP
! volume	57.9	Å³/cell
! total magnetic moment	0.000	μB per formula unit
! E_form (uncorrected)	1.2962	eV/atom
! energy above the most stable polymorph in this dataset	668	meV/atom
! SG	Cmmm, No. 65
&SYSTEM
  ibrav = 0, nat = 4, ntyp = 3
/
ATOMIC_SPECIES
Os 190.23 Os.upf
Ni 58.69 Ni.upf
Br 79.90 Br.upf
CELL_PARAMETERS angstrom
4.5319 0.0439 0.0000
-0.8692 4.4480 0.0000
0.0000 0.0000 2.8645
ATOMIC_POSITIONS angstrom
Os 1.8313 2.2459 0.0000
Ni -0.4346 2.2240 1.4323
Os 0.0000 0.0000 0.0000
Br 2.2660 0.0219 1.4323


No. 5
! SiTeBr2 (PBE-GGA, relaxed); values from VASP
! volume	101.8	Å³/cell
! total magnetic moment	0.000	μB per formula unit
! E_form (uncorrected)	0.6122	eV/atom
! energy above the most stable polymorph in this dataset	749	meV/atom
! SG	P4/mmm, No. 123
&SYSTEM
  ibrav = 0, nat = 4, ntyp = 3
/
ATOMIC_SPECIES
Si 28.09 Si.upf
Br 79.90 Br.upf
Te 127.60 Te.upf
CELL_PARAMETERS angstrom
5.2496 0.0000 0.0000
0.0000 5.2496 0.0000
0.0000 0.0000 3.6948
ATOMIC_POSITIONS angstrom
Si 2.6248 0.0000 1.8474
Br 0.0000 0.0000 0.0000
Te 0.0000 2.6248 1.8474
Br 2.6248 2.6248 0.0000


No. 6
! CdBr2Cl (PBE-GGA, relaxed); values from VASP
! volume	133.5	Å³/cell
! total magnetic moment	1.007	μB per formula unit
! E_form (uncorrected)	-0.4052	eV/atom
! energy above the most stable polymorph in this dataset	156	meV/atom
! SG	C2/m, No. 12
&SYSTEM
  ibrav = 0, nat = 4, ntyp = 3
/
ATOMIC_SPECIES
Cd 112.41 Cd.upf
Br 79.90 Br.upf
Cl 35.45 Cl.upf
CELL_PARAMETERS angstrom
-3.9686 0.7214 5.5689
-1.8881 -2.4480 6.1421
3.1603 2.7086 3.5061
ATOMIC_POSITIONS angstrom
Cd -2.0223 0.7365 11.4129
Br 2.3058 2.3105 4.4062
Cl -0.6741 0.2455 3.8043
Br -0.4937 0.8891 6.7085


No. 7
! TcGeF2 (PBE-GGA, relaxed); values from VASP
! volume	111.2	Å³/cell
! total magnetic moment	3.000	μB per formula unit
! E_form (uncorrected)	-0.7641	eV/atom
! energy above the most stable polymorph in this dataset	171	meV/atom
! SG	I-42d, No. 122
&SYSTEM
  ibrav = 0, nat = 8, ntyp = 3
/
ATOMIC_SPECIES
Tc 98.00 Tc.upf
Ge 72.64 Ge.upf
F 19.00 F.upf
CELL_PARAMETERS angstrom
3.7574 0.0000 0.0000
0.0000 3.7574 0.0000
1.8787 1.8787 7.8728
ATOMIC_POSITIONS angstrom
Tc 0.0000 0.0000 0.0000
Ge 1.8787 1.8787 0.0000
F 2.8181 2.7514 5.9046
Tc 3.7574 1.8787 3.9364
F 2.8848 0.9394 1.9682
F 4.6968 4.7635 5.9046
Ge 1.8787 3.7574 3.9364
F 0.8726 2.8181 1.9682


No. 8
! LiCoP2 (PBE-GGA, relaxed); values from VASP
! volume	50.1	Å³/cell
! total magnetic moment	0.000	μB per formula unit
! energy above the most stable polymorph in this dataset	104	meV/atom
! formation energy from the elements	-291.1	meV/atom
! SG	P2/m, No. 10
&SYSTEM
  ibrav = 0, nat = 4, ntyp = 3
/
ATOMIC_SPECIES
Li 6.94 Li.upf
P 30.97 P.upf
Co 58.93 Co.upf
CELL_PARAMETERS angstrom
-0.2782 2.6177 0.6377
-2.4993 -0.5064 0.9881
0.1681 -1.7079 7.0845
ATOMIC_POSITIONS angstrom
Li -1.8875 -0.3518 6.3733
P -1.2728 -1.0611 3.8005
P -2.3921 -0.5524 1.2239
Co -0.7219 0.7553 2.3370


No. 9
! AlPBr (PBE-GGA, relaxed); values from VASP
! volume	65.1	Å³/cell
! total magnetic moment	0.000	μB per formula unit
! E_form (uncorrected)	0.3309	eV/atom
! energy above the most stable polymorph in this dataset	516	meV/atom
! SG	F-43m, No. 216
&SYSTEM
  ibrav = 0, nat = 3, ntyp = 3
/
ATOMIC_SPECIES
Br 79.90 Br.upf
Al 26.98 Al.upf
P 30.97 P.upf
CELL_PARAMETERS angstrom
4.5149 0.0000 0.0000
2.2574 3.9100 0.0000
2.2574 1.3033 3.6864
ATOMIC_POSITIONS angstrom
Br 0.0000 0.0000 0.0000
Al 6.7723 3.9100 2.7648
P 4.5149 2.6067 1.8432


No. 10
! FeSb3 (PBE-GGA, relaxed); values from VASP
! volume	386.1	Å³/cell
! total magnetic moment	1.012	μB per formula unit
! E_form (uncorrected)	-0.0260	eV/atom
! energy above the most stable polymorph in this dataset	0	meV/atom
! SG	Im-3, No. 204
&SYSTEM
  ibrav = 0, nat = 16, ntyp = 2
/
ATOMIC_SPECIES
Fe 55.84 Fe.upf
Sb 121.76 Sb.upf
CELL_PARAMETERS angstrom
-3.4296 -4.9802 5.1543
7.6925 -1.8439 -0.7459
-0.6907 7.4549 2.6607
ATOMIC_POSITIONS angstrom
Fe 3.8463 -0.9220 -0.3729
Sb 2.1927 -4.1686 4.1969
Fe -0.3453 3.7274 1.3304
Sb -1.6370 2.5515 5.5326
Sb 2.8186 2.4955 4.3605
Sb 5.3639 2.6623 1.9849
Sb 3.0001 0.7681 1.3385
Sb 3.8182 -1.0853 4.1748
Sb -1.7916 -2.0316 5.0842
Sb 0.5721 -0.1374 5.7306
Sb 1.3795 4.7993 2.8722
Fe 1.7861 0.3154 3.5346
Sb 0.7536 -1.8648 2.7087
Fe -1.7148 -2.4901 2.5771
Sb 5.2092 -1.9208 1.5366
Sb -0.2460 1.7161 2.8943


Question: Which formula does entry 8 have?
Answer: LiCoP2